Record 1
! Pr2Cu2Pt, optimized geometry, DFT GGA-PBE; values from VASP
! E_tot (eV for the cell shown): -26.21
! Excess energy over the best structure of this formula in the dataset (eV per formula unit): 0.19
&SYSTEM
  ibrav = 0, nat = 5, ntyp = 3
/
ATOMIC_SPECIES
Pr 140.91 Pr.upf
Cu 63.55 Cu.upf
Pt 195.08 Pt.upf
CELL_PARAMETERS angstrom
3.8833 0.0000 0.0000
0.0000 2.0856 6.9404
0.0000 -2.0856 6.9404
ATOMIC_POSITIONS angstrom
Pr 0.0000 0.0000 0.0000
Pr 0.0000 0.0000 3.5159
Cu 1.9416 0.0000 8.7231
Cu 1.9416 0.0000 11.3064
Pt 1.9416 0.0000 5.9640

Record 2
! Pr4CuPt3, optimized geometry, DFT GGA-PBE; values from VASP
! E_tot (eV for the cell shown): -48.48
&SYSTEM
  ibrav = 0, nat = 8, ntyp = 3
/
ATOMIC_SPECIES
Pr 140.91 Pr.upf
Cu 63.55 Cu.upf
Pt 195.08 Pt.upf
CELL_PARAMETERS angstrom
3.9615 0.0000 0.0000
0.0000 4.5929 0.0000
0.0000 0.0000 10.9564
ATOMIC_POSITIONS angstrom
Pr 0.0000 0.0000 0.0000
Pr 0.0000 2.2964 2.9821
Pr 1.9808 0.0000 5.4130
Pr 1.9808 2.2964 8.4459
Cu 0.0000 0.0000 7.7602
Pt 0.0000 2.2964 6.1224
Pt 1.9808 0.0000 2.4429
Pt 1.9808 2.2964 0.4893

Record 3
! Pr2CuPt, optimized geometry, DFT GGA-PBE; values from VASP
! E_tot (eV for the cell shown): -21.71
&SYSTEM
  ibrav = 0, nat = 4, ntyp = 3
/
ATOMIC_SPECIES
Pr 140.91 Pr.upf
Cu 63.55 Cu.upf
Pt 195.08 Pt.upf
CELL_PARAMETERS angstrom
2.1140 1.2205 7.0861
-2.1140 1.2205 7.0861
0.0000 -2.4411 7.0861
ATOMIC_POSITIONS angstrom
Pr 0.0000 0.0000 0.0000
Pr 0.0000 0.0000 3.8124
Cu 0.0000 0.0000 9.0495
Pt 0.0000 0.0000 12.5031

Record 4
! Pr3Cu2Pt, optimized geometry, DFT GGA-PBE; values from VASP
! E_tot (eV for the cell shown): -124.54
&SYSTEM
  ibrav = 0, nat = 24, ntyp = 3
/
ATOMIC_SPECIES
Pr 140.91 Pr.upf
Cu 63.55 Cu.upf
Pt 195.08 Pt.upf
CELL_PARAMETERS angstrom
12.1964 0.0000 0.0000
0.0000 4.4246 0.0000
0.0000 0.0000 11.2874
ATOMIC_POSITIONS angstrom
Pr 0.6518 1.1061 1.4106
Pr 1.3838 3.3184 6.3709
Pr 2.7132 1.1061 9.0471
Pr 3.3850 3.3184 3.4034
Pr 4.7144 1.1061 0.7272
Pr 5.4464 3.3184 7.0543
Pr 6.7500 1.1061 4.2331
Pr 7.4820 3.3184 10.5602
Pr 8.8114 1.1061 7.8840
Pr 9.4832 3.3184 2.2403
Pr 10.8126 1.1061 4.9165
Pr 11.5446 3.3184 9.8768
Cu 0.1955 3.3184 3.4551
Cu 2.4035 3.3184 0.1008
Cu 3.6947 1.1061 5.7445
Cu 5.9027 1.1061 9.0988
Cu 6.2937 3.3184 2.1887
Cu 8.5017 3.3184 5.5429
Cu 9.7929 1.1061 11.1866
Cu 12.0009 1.1061 7.8324
Pt 1.5265 1.1061 4.2436
Pt 4.5717 3.3184 9.8873
Pt 7.6246 1.1061 1.4001
Pt 10.6699 3.3184 7.0439

Record 5
! PrCuPt, optimized geometry, DFT GGA-PBE; values from VASP
! E_tot (eV for the cell shown): -34.00
! Excess energy over the best structure of this formula in the dataset (eV per formula unit): 0.10
&SYSTEM
  ibrav = 0, nat = 6, ntyp = 3
/
ATOMIC_SPECIES
Pr 140.91 Pr.upf
Cu 63.55 Cu.upf
Pt 195.08 Pt.upf
CELL_PARAMETERS angstrom
5.2009 -2.2286 0.0000
5.2009 2.2286 0.0000
-4.7855 0.0000 5.3480
ATOMIC_POSITIONS angstrom
Pr -0.9774 0.0000 1.5764
Pr 6.5936 0.0000 3.7716
Cu -0.7399 0.0000 4.8364
Cu 6.3561 0.0000 0.5116
Pt 2.0142 0.0000 1.5182
Pt 3.6021 0.0000 3.8299

Record 6
! PrCu4Pt6, optimized geometry, DFT GGA-PBE; values from VASP
! E_tot (eV for the cell shown): -57.95
&SYSTEM
  ibrav = 0, nat = 11, ntyp = 3
/
ATOMIC_SPECIES
Pr 140.91 Pr.upf
Cu 63.55 Cu.upf
Pt 195.08 Pt.upf
CELL_PARAMETERS angstrom
-3.2745 3.2745 4.7024
3.2745 -3.2745 4.7024
3.2745 3.2745 -4.7024
ATOMIC_POSITIONS angstrom
Pr 0.0000 0.0000 0.0000
Cu 1.8691 1.8691 -1.6446
Cu 1.4054 -1.4054 6.3470
Cu 1.4054 1.4054 3.0578
Cu -1.4054 1.4054 6.3470
Pt 3.2745 0.0000 0.0000
Pt 1.0373 -1.0373 3.7647
Pt 2.2372 2.2372 0.9377
Pt 0.0000 3.2745 0.0000
Pt -1.0373 1.0373 3.7647
Pt 1.0373 1.0373 5.6401

Record 7
! Pr4CuPt2, optimized geometry, DFT GGA-PBE; values from VASP
! E_tot (eV for the cell shown): -78.55
&SYSTEM
  ibrav = 0, nat = 14, ntyp = 3
/
ATOMIC_SPECIES
Pr 140.91 Pr.upf
Cu 63.55 Cu.upf
Pt 195.08 Pt.upf
CELL_PARAMETERS angstrom
-4.6724 4.6724 4.7264
4.6724 -4.6724 4.7264
4.6724 4.6724 -4.7264
ATOMIC_POSITIONS angstrom
Pr 6.4741 -0.0030 0.7128
Pr 2.8706 0.0030 0.7128
Pr 4.6753 2.8706 -1.6504
Pr 4.6694 -1.8017 4.0136
Pr -0.0030 1.8017 3.0760
Pr 4.6753 1.8017 4.0136
Pr 2.8706 4.6694 1.6504
Pr 1.8017 0.0030 6.3768
Cu 0.0000 0.0000 0.0000
Cu 0.0000 4.6724 2.3632
Pt 2.3362 4.6673 -1.1816
Pt 4.6774 2.3362 1.1816
Pt 2.3362 0.0051 3.5448
Pt -0.0051 2.3362 5.9080

Record 8
! Pr2CuPt, optimized geometry, DFT GGA-PBE; values from VASP
! E_tot (eV for the cell shown): -44.74
&SYSTEM
  ibrav = 0, nat = 8, ntyp = 3
/
ATOMIC_SPECIES
Pr 140.91 Pr.upf
Cu 63.55 Cu.upf
Pt 195.08 Pt.upf
CELL_PARAMETERS angstrom
5.7953 0.0000 0.0000
0.0000 4.5982 0.0000
-2.6846 0.0000 7.4319
ATOMIC_POSITIONS angstrom
Pr 0.1249 1.1495 3.2310
Pr -1.1871 1.1495 6.9014
Pr 4.2978 3.4486 0.5304
Pr 2.9859 3.4486 4.2009
Cu 1.4616 3.4486 1.5756
Cu 1.6491 1.1495 5.8563
Pt 0.0985 3.4486 5.2953
Pt 3.0122 1.1495 2.1366

Question: E_tot of number 6 (PrCu4Pt6)?
Answer: -57.95 eV for the cell shown